1.
Material: In2RuPb
Method: DFT, PBE
State: relaxed

Results
* crystal system: tetragonal
* space group: P4mm
* formation energy: 164 meV/atom

Unit cell a=3.2552 b=3.2552 c=8.8685 alpha=90.00 beta=90.00 gamma=90.00
With the nearest neighbours (Å) after each atom.
Fractional positions:
In: 0.0000 0.0000 0.0000  4 Ru 2.79
In: 0.5000 0.5000 0.2932  8 In 3.26-3.47
Ru: 0.5000 0.5000 0.8222  4 In 2.79, 4 Pb 2.91
Pb: 0.0000 0.0000 0.6219  4 Ru 2.91, 4 Pb 3.26

***

2.
Material: In2RuPb
Method: DFT, PBE
State: relaxed

Results
* crystal system: monoclinic
* space group: P2/m
* formation energy: 436 meV/atom

Unit cell a=5.0384 b=3.4831 c=5.3347 alpha=90.00 beta=109.93 gamma=90.00
With the nearest neighbours (Å) after each atom.
Fractional positions:
In: 0.0000 0.0000 0.0000  2 Ru 2.98, 4 Pb 3.06, 4 In 3.19
In: 0.0000 0.5000 0.5000  2 Pb 2.98, 4 Ru 3.06, 4 In 3.19
Ru: 0.5000 0.0000 0.5000  6 In 2.98-3.06, 4 Pb 3.19
Pb: 0.5000 0.5000 0.0000  6 In 2.98-3.06, 4 Ru 3.19

***

3.
Material: In3RuPb
Method: DFT, PBE
State: relaxed

Results
* crystal system: cubic
* energy relative to the lowest polymorph listed for this composition: 0 meV per atom
* space group: Pm-3m
* formation energy: 185 meV/atom

Unit cell a=5.1767 b=5.1767 c=5.1767 alpha=90.00 beta=90.00 gamma=90.00
With the nearest neighbours (Å) after each atom.
Fractional positions:
In: 0.0000 0.0000 0.5000  2 Ru 2.59
In: 0.0000 0.5000 0.0000  2 Ru 2.59
In: 0.5000 0.0000 0.0000  2 Ru 2.59
Ru: 0.0000 0.0000 0.0000  6 In 2.59
Pb: 0.5000 0.5000 0.5000  12 In 3.66

***

4.
Material: In2RuPb
Method: DFT, PBE
State: relaxed

Results
* crystal system: orthorhombic
* space group: Amm2
* formation energy: 268 meV/atom

Unit cell a=4.5200 b=5.7420 c=5.7420 alpha=36.85 beta=90.00 gamma=90.00
With the nearest neighbours (Å) after each atom.
Fractional positions:
In: 0.0000 0.0000 0.0000  3 Ru 2.95-3.09, 4 In 3.05
In: 0.5000 0.4133 0.4133  2 Ru 2.74, 1 Pb 2.96, 4 In 3.05
Ru: 0.0000 0.2710 0.2710  3 In 2.74-2.95, 4 Pb 3.05
Pb: 0.5000 0.6849 0.6849  3 In 2.96-3.08, 4 Ru 3.05

***

5.
Material: InRuPb2
Method: DFT, PBE
State: relaxed

Results
* crystal system: orthorhombic
* space group: Immm
* formation energy: 143 meV/atom

Unit cell a=7.4464 b=7.4464 c=7.4464 alpha=155.00 beta=144.37 gamma=44.01
With the nearest neighbours (Å) after each atom.
Fractional positions:
In: 0.0000 0.0000 0.0000  4 Ru 2.79
Ru: 0.5000 0.5000 0.0000  4 In 2.79, 4 Pb 2.90
Pb: 0.3255 0.8255 0.5000  2 Ru 2.90, 2 Pb 3.22
Pb: 0.6745 0.1745 0.5000  2 Ru 2.90, 2 Pb 3.22

***

6.
Material: InRu2Pb
Method: DFT, PBE
State: relaxed

Results
* crystal system: tetragonal
* space group: I-42d
* formation energy: 817 meV/atom

Unit cell a=5.9957 b=5.9957 c=5.9957 alpha=104.28 beta=104.28 gamma=120.45
With the nearest neighbours (Å) after each atom.
Fractional positions:
In: 0.0000 0.0000 0.0000  4 Ru 2.69, 2 Pb 2.98
In: 0.7500 0.2500 0.5000  4 Ru 2.69, 2 Pb 2.98
Ru: 0.1224 0.1250 0.4974  2 In 2.69, 2 Pb 2.72, 2 Ru 2.98
Ru: 0.3750 0.8776 0.0026  2 In 2.69, 2 Pb 2.72, 2 Ru 2.98
Ru: 0.6276 0.6250 0.5026  2 In 2.69, 2 Pb 2.72, 2 Ru 2.98
Ru: 0.8750 0.3724 0.9974  2 In 2.69, 2 Pb 2.72, 2 Ru 2.98
Pb: 0.2500 0.7500 0.5000  4 Ru 2.72, 2 In 2.98
Pb: 0.5000 0.5000 0.0000  4 Ru 2.72, 2 In 2.98

***

7.
Material: In2RuPb
Method: DFT, PBE
State: relaxed

Results
* crystal system: trigonal
* space group: R-3m
* formation energy: 225 meV/atom

Unit cell a=10.2621 b=10.2621 c=10.2621 alpha=18.38 beta=18.38 gamma=18.38
With the nearest neighbours (Å) after each atom.
Fractional positions:
In: 0.2326 0.2326 0.2326  3 Ru 2.75
In: 0.7674 0.7674 0.7674  3 Ru 2.75
Ru: 0.5000 0.5000 0.5000  6 In 2.75
Pb: 0.0000 0.0000 0.0000  6 Pb 3.28, 6 In 3.59

***

8.
Material: InRuPb2
Method: DFT, PBE
State: relaxed

Results
* crystal system: orthorhombic
* space group: Imm2
* formation energy: 248 meV/atom

Unit cell a=7.3551 b=7.3551 c=7.3551 alpha=154.79 beta=143.60 gamma=44.79
With the nearest neighbours (Å) after each atom.
Fractional positions:
In: 0.0000 0.0000 0.0000  2 Ru 2.88, 2 In 3.21
Ru: 0.8245 0.3245 0.5000  6 Pb 2.80-3.02, 2 In 2.88
Pb: 0.3210 0.8210 0.5000  4 Ru 2.80
Pb: 0.6364 0.6364 0.0000  2 Ru 3.02, 2 Pb 3.21, 4 In 3.36

***

9.
Material: InRuPb3
Method: DFT, PBE
State: relaxed

Results
* crystal system: cubic
* energy relative to the lowest polymorph listed for this composition: 0 meV per atom
* space group: Pm-3m
* formation energy: 279 meV/atom

Unit cell a=5.3063 b=5.3063 c=5.3063 alpha=90.00 beta=90.00 gamma=90.00
With the nearest neighbours (Å) after each atom.
Fractional positions:
In: 0.0000 0.0000 0.0000  12 Pb 3.75
Ru: 0.5000 0.5000 0.5000  6 Pb 2.65
Pb: 0.0000 0.5000 0.5000  2 Ru 2.65
Pb: 0.5000 0.0000 0.5000  2 Ru 2.65
Pb: 0.5000 0.5000 0.0000  2 Ru 2.65

***

10.
Material: InRuPb2
Method: DFT, PBE
State: relaxed

Results
* crystal system: monoclinic
* space group: Pm
* formation energy: 340 meV/atom

Unit cell a=3.7971 b=4.7052 c=5.6524 alpha=90.00 beta=109.53 gamma=90.00
With the nearest neighbours (Å) after each atom.
Fractional positions:
In: 0.0000 0.0000 0.0000  2 Ru 2.75, 3 Pb 2.96-3.04
Ru: 0.8667 0.5000 0.7322  2 In 2.75, 3 Pb 2.99-3.01
Pb: 0.2784 0.0000 0.5558  3 In 2.96-3.04, 4 Ru 3.16-3.17
Pb: 0.5849 0.5000 0.1705  3 Ru 2.99-3.01, 4 In 3.16

***

11.
Material: InRu2Pb
Method: DFT, PBE
State: relaxed

Results
* crystal system: tetragonal
* space group: I-4m2
* formation energy: 538 meV/atom

Unit cell a=5.4335 b=5.4335 c=5.4335 alpha=137.26 beta=137.26 gamma=62.04
With the nearest neighbours (Å) after each atom.
Fractional positions:
In: 0.0000 0.0000 0.0000  8 Ru 2.80-3.06, 4 Pb 3.06
Ru: 0.5000 0.5000 0.0000  4 In 2.80, 4 Pb 3.06, 4 Ru 3.06
Ru: 0.7500 0.2500 0.5000  4 Pb 2.80, 4 In 3.06, 4 Ru 3.06
Pb: 0.2500 0.7500 0.5000  8 Ru 2.80-3.06, 4 In 3.06

***

12.
Material: InRuPb2
Method: DFT, PBE
State: relaxed

Results
* crystal system: monoclinic
* space group: Cm
* formation energy: 179 meV/atom

Unit cell a=5.2030 b=5.2030 c=7.0318 alpha=110.68 beta=110.68 gamma=36.52
With the nearest neighbours (Å) after each atom.
Fractional positions:
In: 0.0000 0.0000 0.0000  3 Ru 2.71-2.77
Ru: 0.7253 0.7253 0.9965  3 In 2.71-2.77, 4 Pb 2.79-2.81
Pb: 0.1755 0.1755 0.6543  2 Ru 2.79
Pb: 0.3464 0.3464 0.3447  2 Ru 2.81

***

13.
Material: Th2InRuPb
Method: DFT, PBE
State: relaxed

Results
* crystal system: monoclinic
* space group: P2_1/m
* formation energy: -371 meV/atom

Unit cell a=8.1996 b=4.1842 c=9.0200 alpha=90.00 beta=116.29 gamma=90.00
With the nearest neighbours (Å) after each atom.
Fractional positions:
Th: 0.0533 0.2500 0.1956  3 Ru 2.90-3.05
Th: 0.4279 0.7500 0.1396  2 Ru 2.77
Th: 0.5721 0.2500 0.8604  2 Ru 2.77
Th: 0.9467 0.7500 0.8044  3 Ru 2.90-3.05
In: 0.1269 0.2500 0.6121  1 Ru 2.80, 2 In 3.01
In: 0.8731 0.7500 0.3879  1 Ru 2.80, 2 In 3.01
Ru: 0.2158 0.2500 0.9497  5 Th 2.77-3.05, 1 In 2.80
Ru: 0.7842 0.7500 0.0503  5 Th 2.77-3.05, 1 In 2.80
Pb: 0.3579 0.7500 0.5135  2 In 3.20, 2 Pb 3.22, 4 Th 3.52-3.53
Pb: 0.6421 0.2500 0.4865  2 In 3.20, 2 Pb 3.22, 4 Th 3.52-3.53

***

14.
Material: TlIn2RuPb
Method: DFT, PBE
State: relaxed

Results
* crystal system: tetragonal
* space group: P4/mmm
* formation energy: 112 meV/atom

Unit cell a=5.2367 b=5.2367 c=5.2439 alpha=90.00 beta=90.00 gamma=90.00
With the nearest neighbours (Å) after each atom.
Fractional positions:
Tl: 0.0000 0.0000 0.0000  4 Pb 3.70, 8 In 3.71
In: 0.0000 0.5000 0.5000  2 Ru 2.62
In: 0.5000 0.0000 0.5000  2 Ru 2.62
Ru: 0.5000 0.5000 0.5000  4 In 2.62, 2 Pb 2.62
Pb: 0.5000 0.5000 0.0000  2 Ru 2.62

***

15.
Material: TlInRuPb2
Method: DFT, PBE
State: relaxed

Results
* crystal system: tetragonal
* space group: P4/mmm
* formation energy: 186 meV/atom

Unit cell a=5.2808 b=5.2808 c=5.2640 alpha=90.00 beta=90.00 gamma=90.00
With the nearest neighbours (Å) after each atom.
Fractional positions:
Tl: 0.0000 0.0000 0.0000  8 Pb 3.73, 4 In 3.73
In: 0.5000 0.5000 0.0000  2 Ru 2.63
Ru: 0.5000 0.5000 0.5000  2 In 2.63, 4 Pb 2.64
Pb: 0.0000 0.5000 0.5000  2 Ru 2.64
Pb: 0.5000 0.0000 0.5000  2 Ru 2.64